No. 1
Here is a PBEsol-optimized structure of Mg3Al18W2 from Alexandria via LeMat-Bulk. Energies are from SCAN.

Computed properties:
* crystal system: cubic
* M_tot: 0.00 μB/f.u.
* calculated formation energy: -0.117 eV/atom

abc: 10.3237 10.3237 10.3237
angles: 60.00 60.00 60.00
Atoms (fractional coordinates):
Mg1 0.0000 0.0000 0.0000
Mg2 0.0000 0.0000 0.5000
Mg3 0.0000 0.5000 0.0000
Mg4 0.1250 0.1250 0.1250
Mg5 0.5000 0.0000 0.0000
Mg6 0.8750 0.8750 0.8750
Al1 0.0587 0.3232 0.3232
Al2 0.0587 0.3232 0.7949
Al3 0.0587 0.7949 0.3232
Al4 0.2051 0.6768 0.6768
Al5 0.2051 0.6768 0.9413
Al6 0.2051 0.9413 0.6768
Al7 0.2325 0.2325 0.5175
Al8 0.2325 0.5175 0.2325
Al9 0.2325 0.5175 0.5175
Al10 0.3232 0.0587 0.3232
Al11 0.3232 0.0587 0.7949
Al12 0.3232 0.3232 0.0587
Al13 0.3232 0.3232 0.7949
Al14 0.3232 0.7949 0.0587
Al15 0.3232 0.7949 0.3232
Al16 0.4825 0.4825 0.7675
Al17 0.4825 0.7675 0.4825
Al18 0.4825 0.7675 0.7675
Al19 0.5175 0.2325 0.2325
Al20 0.5175 0.2325 0.5175
Al21 0.5175 0.5175 0.2325
Al22 0.6768 0.2051 0.6768
Al23 0.6768 0.2051 0.9413
Al24 0.6768 0.6768 0.2051
Al25 0.6768 0.6768 0.9413
Al26 0.6768 0.9413 0.2051
Al27 0.6768 0.9413 0.6768
Al28 0.7675 0.4825 0.4825
Al29 0.7675 0.4825 0.7675
Al30 0.7675 0.7675 0.4825
Al31 0.7949 0.0587 0.3232
Al32 0.7949 0.3232 0.0587
Al33 0.7949 0.3232 0.3232
Al34 0.9413 0.2051 0.6768
Al35 0.9413 0.6768 0.2051
Al36 0.9413 0.6768 0.6768
W1 0.0000 0.5000 0.5000
W2 0.5000 0.0000 0.5000
W3 0.5000 0.5000 0.0000
W4 0.5000 0.5000 0.5000

---

No. 2
Here is a PBEsol-optimized structure of SbPbAu from Alexandria via LeMat-Bulk. Energies are from SCAN.

Computed properties:
* crystal system: cubic
* polymorph energy (0 for the lowest one): 0.064 eV/atom
* M_tot: 0.00 μB/f.u.
* uncorrected formation energy: -0.0755 eV/atom

abc: 4.8247 4.8247 4.8247
angles: 60.00 60.00 60.00
Atoms (fractional coordinates):
Sb1 0.0000 0.0000 0.0000
Pb1 0.5000 0.5000 0.5000
Au1 0.2500 0.2500 0.2500

---

No. 3
Here is a PBEsol-optimized structure of YLuHg2 from Alexandria via LeMat-Bulk. Energies are from SCAN.

Computed properties:
* crystal system: cubic
* M_tot: 0.00 μB/f.u.
* calculated formation energy: -0.730 eV/atom

abc: 5.1237 5.1237 5.1237
angles: 60.00 60.00 60.00
Atoms (fractional coordinates):
Y1 0.0000 0.0000 0.0000
Lu1 0.5000 0.5000 0.5000
Hg1 0.2500 0.2500 0.2500
Hg2 0.7500 0.7500 0.7500

---

Copy entry 2 word for word.
Here is a PBEsol-optimized structure of SbPbAu from Alexandria via LeMat-Bulk. Energies are from SCAN.

Computed properties:
* crystal system: cubic
* polymorph energy (0 for the lowest one): 0.064 eV/atom
* M_tot: 0.00 μB/f.u.
* uncorrected formation energy: -0.0755 eV/atom

abc: 4.8247 4.8247 4.8247
angles: 60.00 60.00 60.00
Atoms (fractional coordinates):
Sb1 0.0000 0.0000 0.0000
Pb1 0.5000 0.5000 0.5000
Au1 0.2500 0.2500 0.2500

---

Which formula does entry 1 have? Mg3Al18W2